Record 1
# AcSm2TmS4 (PBE-GGA, optimized geometry)
data_AcSm2TmS4
_cell_length_a 3.982
_cell_length_b 7.185
_cell_length_c 6.938
_cell_angle_alpha 108.59
_cell_angle_beta 90.00
_cell_angle_gamma 90.00
_space_group_name_H-M_alt 'P 1'
_space_group_IT_number 1
_space_group_name_Hall 'P 1'
loop_
_atom_site_label
_atom_site_type_symbol
_atom_site_fract_x
_atom_site_fract_y
_atom_site_fract_z
_atom_site_occupancy
Ac1 Ac 0.000 0.000 0.000 1
Sm1 Sm 0.500 0.000 0.500 1
Sm2 Sm 0.000 0.500 0.500 1
Tm1 Tm 0.500 0.500 0.000 1
S1 S 0.500 0.271 0.257 1
S2 S 0.500 0.729 0.743 1
S3 S 0.000 0.270 0.757 1
S4 S 0.000 0.730 0.243 1
# **SG**: P2/m (10)
# **Uncorrected energy**: -50.154 eV per cell

***

Record 2
# Cr3Co (PBE-GGA, optimized geometry)
data_Cr3Co
_cell_length_a 8.712
_cell_length_b 8.712
_cell_length_c 8.712
_cell_angle_alpha 16.41
_cell_angle_beta 16.41
_cell_angle_gamma 16.41
_space_group_name_H-M_alt 'P 1'
_space_group_IT_number 1
_space_group_name_Hall 'P 1'
loop_
_atom_site_label
_atom_site_type_symbol
_atom_site_fract_x
_atom_site_fract_y
_atom_site_fract_z
_atom_site_occupancy
Co1 Co 0.000 0.000 0.000 1
Cr1 Cr 0.253 0.253 0.253 1
Cr2 Cr 0.500 0.500 0.500 1
Cr3 Cr 0.747 0.747 0.747 1
# **SG**: R-3m (166)
# **E_form**: 253 meV per atom

***

Record 3
# BaNiMo2S8 (PBE-GGA, optimized geometry)
data_BaNiMo2S8
_cell_length_a 6.058
_cell_length_b 6.058
_cell_length_c 9.483
_cell_angle_alpha 71.37
_cell_angle_beta 71.37
_cell_angle_gamma 60.00
_space_group_name_H-M_alt 'P 1'
_space_group_IT_number 1
_space_group_name_Hall 'P 1'
loop_
_atom_site_label
_atom_site_type_symbol
_atom_site_fract_x
_atom_site_fract_y
_atom_site_fract_z
_atom_site_occupancy
Ba1 Ba 0.500 0.500 0.500 1
Ni1 Ni 0.000 0.000 0.000 1
Mo1 Mo 0.255 0.255 0.236 1
Mo2 Mo 0.745 0.745 0.764 1
S1 S 0.171 0.171 0.487 1
S2 S 0.633 0.267 0.160 1
S3 S 0.829 0.829 0.513 1
S4 S 0.939 0.633 0.160 1
S5 S 0.061 0.367 0.840 1
S6 S 0.267 0.939 0.160 1
S7 S 0.733 0.061 0.840 1
S8 S 0.367 0.733 0.840 1
# **SG**: R-3 (148)
# **Uncorrected energy**: -69.717 eV per cell

***

Record 4
# Zn3RhBr9 (PBE-GGA, optimized geometry)
data_Zn3RhBr9
_cell_length_a 9.185
_cell_length_b 9.887
_cell_length_c 11.165
_cell_angle_alpha 75.57
_cell_angle_beta 65.71
_cell_angle_gamma 62.32
_space_group_name_H-M_alt 'P 1'
_space_group_IT_number 1
_space_group_name_Hall 'P 1'
loop_
_atom_site_label
_atom_site_type_symbol
_atom_site_fract_x
_atom_site_fract_y
_atom_site_fract_z
_atom_site_occupancy
Zn1 Zn 0.789 0.581 0.688 1
Zn2 Zn 0.942 0.081 0.188 1
Zn3 Zn 0.012 0.934 0.823 1
Zn4 Zn 0.231 0.434 0.323 1
Zn5 Zn 0.556 0.240 0.735 1
Zn6 Zn 0.469 0.740 0.235 1
Rh1 Rh 0.025 0.503 0.005 1
Rh2 Rh 0.466 0.003 0.505 1
Br1 Br 0.365 0.156 0.315 1
Br2 Br 0.164 0.656 0.815 1
Br3 Br 0.318 0.271 0.947 1
Br4 Br 0.463 0.771 0.447 1
Br5 Br 0.149 0.086 0.643 1
Br6 Br 0.122 0.586 0.143 1
Br7 Br 0.746 0.741 0.064 1
Br8 Br 0.449 0.241 0.564 1
Br9 Br 0.791 0.936 0.372 1
Br10 Br 0.900 0.436 0.872 1
Br11 Br 0.531 0.831 0.708 1
Br12 Br 0.930 0.331 0.208 1
Br13 Br 0.497 0.482 0.242 1
Br14 Br 0.778 0.982 0.742 1
Br15 Br 0.710 0.409 0.622 1
Br16 Br 0.259 0.909 0.122 1
Br17 Br 0.841 0.087 0.014 1
Br18 Br 0.058 0.587 0.514 1
# **SG**: Cc (9)
# **Uncorrected energy**: -68.857 eV per cell

***

Record 5
# Nb2InI (PBE-GGA, optimized geometry)
data_Nb2InI
_cell_length_a 4.867
_cell_length_b 4.867
_cell_length_c 4.867
_cell_angle_alpha 60.00
_cell_angle_beta 60.00
_cell_angle_gamma 60.00
_space_group_name_H-M_alt 'P 1'
_space_group_IT_number 1
_space_group_name_Hall 'P 1'
loop_
_atom_site_label
_atom_site_type_symbol
_atom_site_fract_x
_atom_site_fract_y
_atom_site_fract_z
_atom_site_occupancy
I1 I 0.500 0.500 0.500 1
Nb1 Nb 0.250 0.250 0.250 1
Nb2 Nb 0.750 0.750 0.750 1
In1 In 0.000 0.000 0.000 1
# **SG**: Fm-3m (225)
# **Polymorph energy (0 for the lowest one)**: 0 meV/atom

***

Record 6
# MgTc2RuW (PBE-GGA, optimized geometry)
data_MgTc2RuW
_cell_length_a 4.628
_cell_length_b 4.929
_cell_length_c 4.628
_cell_angle_alpha 90.00
_cell_angle_beta 90.00
_cell_angle_gamma 90.00
_space_group_name_H-M_alt 'P 1'
_space_group_IT_number 1
_space_group_name_Hall 'P 1'
loop_
_atom_site_label
_atom_site_type_symbol
_atom_site_fract_x
_atom_site_fract_y
_atom_site_fract_z
_atom_site_occupancy
Ru1 Ru 0.500 0.500 0.500 1
Mg1 Mg 0.000 0.500 0.000 1
Tc1 Tc 0.000 0.000 0.500 1
Tc2 Tc 0.500 0.000 0.000 1
W1 W 0.000 0.000 0.000 1
# **SG**: P4/mmm (123)
# **E_form**: 1942 meV per atom

***

Record 7
# CoAu2Br6 (PBE-GGA, optimized geometry)
data_CoAu2Br6
_cell_length_a 6.527
_cell_length_b 9.302
_cell_length_c 9.302
_cell_angle_alpha 76.82
_cell_angle_beta 92.58
_cell_angle_gamma 92.58
_space_group_name_H-M_alt 'P 1'
_space_group_IT_number 1
_space_group_name_Hall 'P 1'
loop_
_atom_site_label
_atom_site_type_symbol
_atom_site_fract_x
_atom_site_fract_y
_atom_site_fract_z
_atom_site_occupancy
Co1 Co 0.250 0.077 0.923 1
Co2 Co 0.750 0.923 0.077 1
Au1 Au 0.258 0.531 0.678 1
Au2 Au 0.242 0.322 0.469 1
Au3 Au 0.742 0.469 0.322 1
Au4 Au 0.758 0.678 0.531 1
Br1 Br 0.379 0.758 0.505 1
Br2 Br 0.121 0.495 0.242 1
Br3 Br 0.621 0.242 0.495 1
Br4 Br 0.879 0.505 0.758 1
Br5 Br 0.900 0.883 0.324 1
Br6 Br 0.600 0.676 0.117 1
Br7 Br 0.100 0.117 0.676 1
Br8 Br 0.400 0.324 0.883 1
Br9 Br 0.053 0.844 0.976 1
Br10 Br 0.447 0.024 0.156 1
Br11 Br 0.947 0.156 0.024 1
Br12 Br 0.553 0.976 0.844 1
# **SG**: C2/c (15)
# **Polymorph energy (0 for the lowest one)**: 16 meV/atom

***

Record 8
# Sr2InHg5 (PBE-GGA, optimized geometry)
data_Sr2InHg5
_cell_length_a 4.964
_cell_length_b 9.459
_cell_length_c 10.332
_cell_angle_alpha 90.00
_cell_angle_beta 90.00
_cell_angle_gamma 105.21
_space_group_name_H-M_alt 'P 1'
_space_group_IT_number 1
_space_group_name_Hall 'P 1'
loop_
_atom_site_label
_atom_site_type_symbol
_atom_site_fract_x
_atom_site_fract_y
_atom_site_fract_z
_atom_site_occupancy
Sr1 Sr 0.797 0.595 0.750 1
Sr2 Sr 0.203 0.405 0.250 1
Sr3 Sr 0.000 0.000 0.000 1
Sr4 Sr 0.000 0.000 0.500 1
In1 In 0.449 0.897 0.750 1
In2 In 0.551 0.103 0.250 1
Hg1 Hg 0.190 0.380 0.896 1
Hg2 Hg 0.810 0.620 0.104 1
Hg3 Hg 0.190 0.380 0.604 1
Hg4 Hg 0.810 0.620 0.396 1
Hg5 Hg 0.355 0.710 0.969 1
Hg6 Hg 0.645 0.290 0.031 1
Hg7 Hg 0.355 0.710 0.531 1
Hg8 Hg 0.645 0.290 0.469 1
Hg9 Hg 0.603 0.205 0.750 1
Hg10 Hg 0.397 0.795 0.250 1
# **SG**: Cmcm (63)
# **E_form**: -346 meV per atom
# **Polymorph energy (0 for the lowest one)**: 14 meV/atom